No. 1
AgGe2P2 after structural relaxation, computed with GGA-PBE.

Computed properties:
* ρ: 5.585 g cm⁻³
* formation energy from the elements: 0.311 eV/atom
* DOS(E_F): 1.48 states/eV/f.u.
* VASP energy: -4.270 eV per atom
* space group: No. 139

Unit cell a=5.326 b=5.326 c=5.326 alpha=126.83 beta=126.83 gamma=78.52
Atoms (fractional coordinates):
Ag 0.000 0.000 0.000
Ge 0.346 0.346 0.000
Ge 0.654 0.654 0.000
P 0.250 0.750 0.500
P 0.750 0.250 0.500

No. 2
AgGeP2Pt after structural relaxation, computed with GGA-PBE.

Computed properties:
* ρ: 7.126 g cm⁻³
* formation energy from the elements: 1.119 eV/atom
* DOS(E_F): 6.45 states/eV/f.u.
* VASP energy: -3.747 eV per atom
* space group: No. 123

Unit cell a=4.617 b=4.617 c=4.783 alpha=90.00 beta=90.00 gamma=90.00
Atoms (fractional coordinates):
Ag 0.000 0.000 0.000
Ge 0.000 0.000 0.500
P 0.000 0.500 0.500
P 0.500 0.000 0.500
Pt 0.500 0.500 0.000

No. 3
AgGePS2 after structural relaxation, computed with GGA-PBE.

Computed properties:
* ρ: 4.262 g cm⁻³
* DOS(E_F): 3.63 states/eV/f.u.
* VASP energy: -3.520 eV per atom
* space group: No. 123

Unit cell a=4.772 b=4.772 c=4.717 alpha=90.00 beta=90.00 gamma=90.00
Atoms (fractional coordinates):
Ag 0.000 0.000 0.000
Ge 0.500 0.500 0.500
P 0.500 0.500 0.000
S 0.000 0.500 0.500
S 0.500 0.000 0.500

No. 4
AgGePS2 after structural relaxation, computed with GGA-PBE.

Computed properties:
* ρ: 4.083 g cm⁻³
* DOS(E_F): 3.91 states/eV/f.u.
* VASP energy: -3.313 eV per atom
* space group: No. 123

Unit cell a=4.900 b=4.900 c=4.669 alpha=90.00 beta=90.00 gamma=90.00
Atoms (fractional coordinates):
Ag 0.000 0.000 0.000
Ge 0.500 0.500 0.500
P 0.000 0.000 0.500
S 0.000 0.500 0.000
S 0.500 0.000 0.000

No. 5
Ag3Sn2Ge3P6 after structural relaxation, computed with GGA-PBE.

Computed properties:
* ρ: 5.365 g cm⁻³
* formation energy from the elements: -0.040 eV/atom
* DOS(E_F): 1.01 states/eV/f.u.
* VASP energy: -4.531 eV per atom
* space group: No. 217

Unit cell a=9.189 b=9.189 c=9.189 alpha=109.47 beta=109.47 gamma=109.47
Atoms (fractional coordinates):
Ag 0.000 0.196 0.196
Ag 0.000 0.804 0.804
Ag 0.196 0.000 0.196
Ag 0.196 0.196 0.000
Ag 0.804 0.000 0.804
Ag 0.804 0.804 0.000
Sn 0.000 0.000 0.411
Sn 0.000 0.411 0.000
Sn 0.411 0.000 0.000
Sn 0.589 0.589 0.589
Ge 0.250 0.500 0.750
Ge 0.250 0.750 0.500
Ge 0.500 0.250 0.750
Ge 0.500 0.750 0.250
Ge 0.750 0.250 0.500
Ge 0.750 0.500 0.250
P 0.000 0.510 0.761
P 0.000 0.761 0.510
P 0.239 0.239 0.749
P 0.239 0.749 0.239
P 0.251 0.490 0.490
P 0.490 0.251 0.490
P 0.490 0.490 0.251
P 0.510 0.000 0.761
P 0.510 0.761 0.000
P 0.749 0.239 0.239
P 0.761 0.000 0.510
P 0.761 0.510 0.000

No. 6
YAg2GeP after structural relaxation, computed with GGA-PBE.

Computed properties:
* ρ: 4.380 g cm⁻³
* formation energy from the elements: 1.320 eV/atom
* DOS(E_F): 4.70 states/eV/f.u.
* VASP energy: -3.119 eV per atom
* space group: No. 123

Unit cell a=5.346 b=5.346 c=5.416 alpha=90.00 beta=90.00 gamma=90.00
Atoms (fractional coordinates):
Y 0.000 0.000 0.000
Ag 0.000 0.500 0.000
Ag 0.500 0.000 0.000
Ge 0.000 0.000 0.500
P 0.500 0.500 0.500

No. 7
PaAg2Ge after structural relaxation, computed with GGA-PBE.

Computed properties:
* ρ: 10.195 g cm⁻³
* formation energy from the elements: 0.343 eV/atom
* DOS(E_F): 4.13 states/eV/f.u.
* VASP energy: -4.611 eV per atom
* space group: No. 166

Unit cell a=11.254 b=11.254 c=11.254 alpha=15.13 beta=15.13 gamma=15.13
Atoms (fractional coordinates):
Pa 0.000 0.000 0.000
Ag 0.093 0.093 0.093
Ag 0.907 0.907 0.907
Ge 0.500 0.500 0.500

No. 8
PrPaAgGe after structural relaxation, computed with GGA-PBE.

Computed properties:
* ρ: 9.267 g cm⁻³
* formation energy from the elements: -0.113 eV/atom
* DOS(E_F): 10.37 states/eV/f.u.
* VASP energy: -5.549 eV per atom
* space group: No. 216

Unit cell a=5.192 b=5.192 c=5.192 alpha=60.00 beta=60.00 gamma=60.00
Atoms (fractional coordinates):
Pr 0.000 0.000 0.000
Pa 0.500 0.500 0.500
Ag 0.750 0.750 0.750
Ge 0.250 0.250 0.250

No. 9
ScPaAgGe after structural relaxation, computed with GGA-PBE.

Computed properties:
* ρ: 8.725 g cm⁻³
* formation energy from the elements: -0.165 eV/atom
* DOS(E_F): 8.48 states/eV/f.u.
* VASP energy: -5.989 eV per atom
* space group: No. 216

Unit cell a=4.971 b=4.971 c=4.971 alpha=60.00 beta=60.00 gamma=60.00
Atoms (fractional coordinates):
Sc 0.000 0.000 0.000
Pa 0.500 0.500 0.500
Ag 0.750 0.750 0.750
Ge 0.250 0.250 0.250

No. 10
SmPaAgGe after structural relaxation, computed with GGA-PBE.

Computed properties:
* ρ: 9.710 g cm⁻³
* formation energy from the elements: -0.139 eV/atom
* DOS(E_F): 9.85 states/eV/f.u.
* VASP energy: -5.560 eV per atom
* space group: No. 216

Unit cell a=5.141 b=5.141 c=5.141 alpha=60.00 beta=60.00 gamma=60.00
Atoms (fractional coordinates):
Sm 0.000 0.000 0.000
Pa 0.500 0.500 0.500
Ag 0.750 0.750 0.750
Ge 0.250 0.250 0.250

No. 11
TbPaAgGe after structural relaxation, computed with GGA-PBE.

Computed properties:
* ρ: 10.093 g cm⁻³
* formation energy from the elements: -0.157 eV/atom
* DOS(E_F): 9.03 states/eV/f.u.
* VASP energy: -5.555 eV per atom
* space group: No. 216

Unit cell a=5.101 b=5.101 c=5.101 alpha=60.00 beta=60.00 gamma=60.00
Atoms (fractional coordinates):
Tb 0.000 0.000 0.000
Pa 0.500 0.500 0.500
Ag 0.750 0.750 0.750
Ge 0.250 0.250 0.250

No. 12
ThPaAgGe after structural relaxation, computed with GGA-PBE.

Computed properties:
* ρ: 10.965 g cm⁻³
* formation energy from the elements: -0.077 eV/atom
* DOS(E_F): 7.73 states/eV/f.u.
* VASP energy: -6.173 eV per atom
* space group: No. 216

Unit cell a=5.166 b=5.166 c=5.166 alpha=60.00 beta=60.00 gamma=60.00
Atoms (fractional coordinates):
Th 0.000 0.000 0.000
Pa 0.500 0.500 0.500
Ag 0.250 0.250 0.250
Ge 0.750 0.750 0.750